# 1
Material: Mg2InAu
Method: DFT, SCAN
State: PBEsol geometry

Computed properties:
The calculation puts the volume at 77 Å³/cell. The value obtained for the energy of formation is -0.43 eV/atom. The value obtained for the final energy is -28.56 eV per atom. Its density of states at the Fermi level is 1.03 states/eV/f.u.

Lattice parameters (Å, degrees): 3.209 4.790 5.035 90.00 90.00 90.00
Space group Pmm2 (No. 25)
Asymmetric unit:
Mg (0.000, 0.000, 0.000) (multiplicity 1)
Mg (0.000, 0.500, 0.377) (multiplicity 1)
In (0.500, 0.000, 0.514) (multiplicity 1)
Au (0.500, 0.500, 0.881) (multiplicity 1)

# 2
Material: P3Pb5O12
Method: DFT, SCAN
State: PBEsol geometry

Computed properties:
The uncorrected formation energy is -39.37 eV/f.u. The calculation puts the volume at 604 Å³/cell. The value obtained for the final energy is -26.21 eV per atom. Its density of states at the Fermi level is 2.47 states/eV/f.u.

Lattice parameters (Å, degrees): 9.7850 9.7850 7.2853 90.00 90.00 120.00
Space group P6_3/m (No. 176)
Asymmetric unit:
P (0.0289, 0.4006, 0.2500) (multiplicity 6)
Pb (0.0001, 0.2363, 0.7500) (multiplicity 6)
Pb (0.3333, 0.6667, 0.5020) (multiplicity 4)
O (0.0867, 0.3485, 0.0784) (multiplicity 12)
O (0.1120, 0.5845, 0.2500) (multiplicity 6)
O (0.1525, 0.6736, 0.7500) (multiplicity 6)

# 3
Material: Ag2Se
Method: DFT, SCAN
State: PBEsol geometry

Computed properties:
The uncorrected formation energy is 0.03 eV/f.u. The calculation puts the volume at 219 Å³/cell. The value obtained for the final energy is -27.59 eV per atom. Its density of states at the Fermi level is 0.52 states/eV/f.u.

Lattice parameters (Å, degrees): 3.002 5.857 12.436 90.00 90.00 90.00
Space group Immm (No. 71)
Asymmetric unit:
Ag (0.000, 0.000, 0.158) (multiplicity 4)
Ag (0.000, 0.257, 0.500) (multiplicity 4)
Se (0.000, 0.500, 0.159) (multiplicity 4)

# 4
Material: BeMoPt2
Method: DFT, SCAN
State: PBEsol geometry

Computed properties:
The calculation puts the volume at 52 Å³/cell. The value obtained for the energy of formation is -0.68 eV/atom. The value obtained for the final energy is -45.58 eV per atom. Its density of states at the Fermi level is 1.42 states/eV/f.u.

Lattice parameters (Å, degrees): 2.741 2.741 6.927 90.00 90.00 90.00
Space group P4/mmm (No. 123)
Asymmetric unit:
Be (0.000, 0.000, 0.000) (multiplicity 1)
Mo (0.000, 0.000, 0.500) (multiplicity 1)
Pt (0.500, 0.500, 0.210) (multiplicity 2)

# 5
Material: SrCu2Pt
Method: DFT, SCAN
State: PBEsol geometry

Computed properties:
The calculation puts the volume at 238 Å³/cell. The value obtained for the energy of formation is -0.42 eV/atom. The energy relative to the lowest polymorph listed for this composition is 0.000 eV per atom. The value obtained for the final energy is -31.14 eV per atom. Its density of states at the Fermi level is 1.10 states/eV/f.u.

Lattice parameters (Å, degrees): 4.2858 4.2858 14.9615 90.00 90.00 120.00
Space group R-3m (No. 166, hexagonal axes)
Asymmetric unit:
Sr (0.0000, 0.0000, 0.0000) (multiplicity 3)
Cu (0.0000, 0.0000, 0.1914) (multiplicity 6)
Pt (0.0000, 0.0000, 0.5000) (multiplicity 3)

# 6
Material: Ca2TcAsO
Method: DFT, SCAN
State: PBEsol geometry

Computed properties:
The uncorrected formation energy is -2.69 eV/f.u. The calculation puts the volume at 113 Å³/cell. The value obtained for the final energy is -16.70 eV per atom. Its density of states at the Fermi level is 4.50 states/eV/f.u.

Lattice parameters (Å, degrees): 5.560 5.560 3.652 90.00 90.00 90.00
Space group P4/mmm (No. 123)
Asymmetric unit:
Ca (0.000, 0.500, 0.000) (multiplicity 2)
Tc (0.000, 0.000, 0.000) (multiplicity 1)
As (0.500, 0.500, 0.500) (multiplicity 1)
O (0.000, 0.000, 0.500) (multiplicity 1)

> Among the records above, which one has the lowest final energy?

BeMoPt2

Please write out number 1 again, unchanged.
Material: Mg2InAu
Method: DFT, SCAN
State: PBEsol geometry

Computed properties:
The calculation puts the volume at 77 Å³/cell. The value obtained for the energy of formation is -0.43 eV/atom. The value obtained for the final energy is -28.56 eV per atom. Its density of states at the Fermi level is 1.03 states/eV/f.u.

Lattice parameters (Å, degrees): 3.209 4.790 5.035 90.00 90.00 90.00
Space group Pmm2 (No. 25)
Asymmetric unit:
Mg (0.000, 0.000, 0.000) (multiplicity 1)
Mg (0.000, 0.500, 0.377) (multiplicity 1)
In (0.500, 0.000, 0.514) (multiplicity 1)
Au (0.500, 0.500, 0.881) (multiplicity 1)

Repeat the fifth record exactly.
Material: SrCu2Pt
Method: DFT, SCAN
State: PBEsol geometry

Computed properties:
The calculation puts the volume at 238 Å³/cell. The value obtained for the energy of formation is -0.42 eV/atom. The energy relative to the lowest polymorph listed for this composition is 0.000 eV per atom. The value obtained for the final energy is -31.14 eV per atom. Its density of states at the Fermi level is 1.10 states/eV/f.u.

Lattice parameters (Å, degrees): 4.2858 4.2858 14.9615 90.00 90.00 120.00
Space group R-3m (No. 166, hexagonal axes)
Asymmetric unit:
Sr (0.0000, 0.0000, 0.0000) (multiplicity 3)
Cu (0.0000, 0.0000, 0.1914) (multiplicity 6)
Pt (0.0000, 0.0000, 0.5000) (multiplicity 3)